Record 1
# PBEsol RhC, optimized geometry
data_RhC
_chemical_formula_sum 'Rh2 C2'
_space_group_name_H-M_alt 'P m m a'
_space_group_IT_number 51
_space_group_name_Hall '-P 2a 2a'
_cell_length_a 5.7119
_cell_length_b 3.0742
_cell_length_c 2.6811
_cell_angle_alpha 90.00
_cell_angle_beta 90.00
_cell_angle_gamma 90.00
loop_
_atom_site_label
_atom_site_type_symbol
_atom_site_fract_x
_atom_site_fract_y
_atom_site_fract_z
Rh1 Rh 0.2500 0.0000 0.0204
C1 C 0.2500 0.5000 0.6034
# Mass density, g cm⁻³: 8.11
# ΔH_f (0 K), eV per atom: 1.0459
# Calculated volume, Å³/atom: 11.8
# Uncorrected energy, eV per atom: -7.845

Record 2
# PBEsol Rh3C, optimized geometry
data_Rh3C
_chemical_formula_sum 'Rh6 C2'
_space_group_name_H-M_alt 'I m m 2'
_space_group_IT_number 44
_space_group_name_Hall 'I 2 -2'
_cell_length_a 2.7193
_cell_length_b 7.5603
_cell_length_c 4.6291
_cell_angle_alpha 90.00
_cell_angle_beta 90.00
_cell_angle_gamma 90.00
loop_
_atom_site_label
_atom_site_type_symbol
_atom_site_fract_x
_atom_site_fract_y
_atom_site_fract_z
Rh1 Rh 0.0000 0.0000 0.0000
Rh2 Rh 0.0000 0.1797 0.5010
C1 C 0.0000 0.5000 0.1648
# Mass density, g cm⁻³: 11.19
# ΔH_f (0 K), eV per atom: 0.2636
# Calculated volume, Å³/atom: 11.9
# Uncorrected energy, eV per atom: -8.251

Record 3
# PBEsol Rh3C, optimized geometry
data_Rh3C
_chemical_formula_sum 'Rh3 C1'
_space_group_name_H-M_alt 'P 4/m m m'
_space_group_IT_number 123
_space_group_name_Hall '-P 4 2'
_cell_length_a 2.6525
_cell_length_b 2.6525
_cell_length_c 6.5204
_cell_angle_alpha 90.00
_cell_angle_beta 90.00
_cell_angle_gamma 90.00
loop_
_atom_site_label
_atom_site_type_symbol
_atom_site_fract_x
_atom_site_fract_y
_atom_site_fract_z
Rh1 Rh 0.0000 0.0000 0.0000
Rh2 Rh 0.5000 0.5000 0.3052
C1 C 0.0000 0.0000 0.5000
# Mass density, g cm⁻³: 11.61
# ΔH_f (0 K), eV per atom: 0.5767
# Calculated volume, Å³/atom: 11.5
# Uncorrected energy, eV per atom: -7.938

Record 4
# PBEsol RhC5, optimized geometry
data_RhC5
_chemical_formula_sum 'Rh1 C5'
_space_group_name_H-M_alt 'P 6/m m m'
_space_group_IT_number 191
_space_group_name_Hall '-P 6 2'
_cell_length_a 3.3806
_cell_length_b 3.3806
_cell_length_c 6.4025
_cell_angle_alpha 90.00
_cell_angle_beta 90.00
_cell_angle_gamma 120.00
loop_
_atom_site_label
_atom_site_type_symbol
_atom_site_fract_x
_atom_site_fract_y
_atom_site_fract_z
Rh1 Rh 0.0000 0.0000 0.0000
C1 C 0.0000 0.5000 0.5000
C2 C 0.3333 0.6667 0.0000
# Mass density, g cm⁻³: 4.27
# ΔH_f (0 K), eV per atom: 2.6520
# Calculated volume, Å³/atom: 10.6
# Uncorrected energy, eV per atom: -6.741